Record 1
DFT (PBE-GGA) results for a geometry-optimized Ba8TlBi5 structure.

Lattice parameters (Å, degrees): 9.341 9.341 9.341 109.37 109.37 109.68
Positions (direct):
Ba 0.009 0.622 0.758
Ba 0.228 0.470 0.092
Ba 0.378 0.135 0.908
Ba 0.378 0.136 0.387
Ba 0.530 0.622 0.757
Ba 0.750 0.991 0.613
Ba 0.864 0.250 0.242
Ba 0.865 0.772 0.243
Tl 0.250 0.750 0.500
Bi 0.000 0.000 0.000
Bi 0.132 0.249 0.621
Bi 0.489 0.868 0.118
Bi 0.628 0.511 0.379
Bi 0.751 0.372 0.882

Total magnetization = 2.02 μB per cell
N(E_F) = 5.07 states/eV/f.u.

---

Record 2
DFT (PBE-GGA) results for a geometry-optimized BaTl12Bi4 structure.

Lattice parameters (Å, degrees): 9.428 9.428 9.428 109.47 109.47 109.47
Positions (direct):
Ba 0.000 0.000 0.000
Tl 0.143 0.355 0.498
Tl 0.143 0.645 0.789
Tl 0.211 0.857 0.355
Tl 0.355 0.211 0.857
Tl 0.355 0.498 0.143
Tl 0.498 0.143 0.355
Tl 0.502 0.857 0.645
Tl 0.645 0.502 0.857
Tl 0.645 0.789 0.143
Tl 0.789 0.143 0.645
Tl 0.857 0.355 0.211
Tl 0.857 0.645 0.502
Bi 0.000 0.000 0.500
Bi 0.000 0.500 0.000
Bi 0.500 0.000 0.000
Bi 0.500 0.500 0.500

Total magnetization = 0.00 μB per cell
N(E_F) = 4.64 states/eV/f.u.

---

Record 3
DFT (PBE-GGA) results for a geometry-optimized BaTlBi2 structure.

Lattice parameters (Å, degrees): 4.710 4.899 6.859 90.00 90.24 90.00
Positions (direct):
Ba 0.000 0.000 0.000
Tl 0.775 0.000 0.500
Bi 0.482 0.500 0.776
Bi 0.485 0.500 0.222

Total magnetization = 0.00 μB per cell
N(E_F) = 1.82 states/eV/f.u.
Energy above the most stable polymorph in this dataset = 0.079 eV per atom

---

Record 4
DFT (PBE-GGA) results for a geometry-optimized Ba2Tl3Bi structure.

Lattice parameters (Å, degrees): 11.044 10.377 7.007 76.15 65.82 38.03
Positions (direct):
Ba 0.243 0.757 0.757
Ba 0.250 0.250 0.250
Ba 0.750 0.750 0.750
Ba 0.757 0.243 0.243
Tl 0.170 0.664 0.336
Tl 0.335 0.335 0.665
Tl 0.336 0.830 0.170
Tl 0.664 0.170 0.830
Tl 0.665 0.665 0.335
Tl 0.830 0.336 0.664
Bi 0.167 0.167 0.833
Bi 0.833 0.833 0.167

Total magnetization = 0.00 μB per cell
N(E_F) = 4.54 states/eV/f.u.
Energy above the most stable polymorph in this dataset = 0.052 eV per atom

---

Record 5
DFT (PBE-GGA) results for a geometry-optimized BaTlBi2 structure.

Lattice parameters (Å, degrees): 8.750 5.077 13.341 90.00 90.00 90.00
Positions (direct):
Ba 0.214 0.250 0.165
Ba 0.286 0.750 0.665
Ba 0.714 0.250 0.335
Ba 0.786 0.750 0.835
Tl 0.177 0.750 0.970
Tl 0.323 0.250 0.470
Tl 0.677 0.750 0.530
Tl 0.823 0.250 0.030
Bi 0.045 0.750 0.419
Bi 0.098 0.250 0.818
Bi 0.402 0.750 0.318
Bi 0.455 0.250 0.919
Bi 0.545 0.750 0.081
Bi 0.598 0.250 0.682
Bi 0.902 0.750 0.182
Bi 0.955 0.250 0.581

Total magnetization = 0.00 μB per cell
N(E_F) = 1.24 states/eV/f.u.
Energy above the most stable polymorph in this dataset = 0.028 eV per atom

---

Record 6
DFT (PBE-GGA) results for a geometry-optimized Ba3Tl7Bi2 structure.

Lattice parameters (Å, degrees): 5.342 4.772 17.511 90.00 98.40 90.00
Positions (direct):
Ba 0.000 0.000 0.000
Ba 0.319 0.500 0.648
Ba 0.681 0.500 0.352
Tl 0.077 0.500 0.154
Tl 0.231 0.000 0.460
Tl 0.419 0.000 0.845
Tl 0.500 0.500 0.000
Tl 0.581 0.000 0.155
Tl 0.769 0.000 0.540
Tl 0.923 0.500 0.846
Bi 0.148 0.000 0.279
Bi 0.852 0.000 0.721

Total magnetization = 0.00 μB per cell
N(E_F) = 5.70 states/eV/f.u.

---

Record 7
DFT (PBE-GGA) results for a geometry-optimized Ba2TlBi3 structure.

Lattice parameters (Å, degrees): 4.796 5.374 9.448 90.00 90.00 90.00
Positions (direct):
Ba 0.000 0.000 0.000
Ba 0.000 0.500 0.474
Tl 0.500 0.500 0.818
Bi 0.500 0.000 0.323
Bi 0.500 0.000 0.654
Bi 0.500 0.500 0.150

Total magnetization = 0.00 μB per cell
N(E_F) = 2.50 states/eV/f.u.

---

Record 8
DFT (PBE-GGA) results for a geometry-optimized BaTlBi2 structure.

Lattice parameters (Å, degrees): 5.139 5.139 5.254 90.00 90.00 90.00
Positions (direct):
Ba 0.000 0.000 0.000
Tl 0.500 0.500 0.000
Bi 0.000 0.500 0.500
Bi 0.500 0.000 0.500

Total magnetization = 0.00 μB per cell
N(E_F) = 1.21 states/eV/f.u.
Energy above the most stable polymorph in this dataset = 0.000 eV per atom

---

Record 9
DFT (PBE-GGA) results for a geometry-optimized BaTlBi2 structure.

Lattice parameters (Å, degrees): 5.913 5.913 5.913 60.00 60.00 60.00
Positions (direct):
Ba 0.000 0.000 0.000
Tl 0.500 0.500 0.500
Bi 0.250 0.250 0.250
Bi 0.750 0.750 0.750

Total magnetization = 0.00 μB per cell
N(E_F) = 3.58 states/eV/f.u.
Energy above the most stable polymorph in this dataset = 0.197 eV per atom

---

Record 10
DFT (PBE-GGA) results for a geometry-optimized BaTlBi3 structure.

Lattice parameters (Å, degrees): 5.924 5.924 5.924 90.00 90.00 90.00
Positions (direct):
Ba 0.000 0.000 0.000
Tl 0.500 0.500 0.500
Bi 0.000 0.500 0.500
Bi 0.500 0.000 0.500
Bi 0.500 0.500 0.000

Total magnetization = 0.00 μB per cell
N(E_F) = 5.88 states/eV/f.u.
Energy above the most stable polymorph in this dataset = 0.371 eV per atom

---

Record 11
DFT (PBE-GGA) results for a geometry-optimized BaTl3Bi3 structure.

Lattice parameters (Å, degrees): 8.609 8.609 8.609 90.00 90.00 90.00
Positions (direct):
Ba 0.000 0.000 0.000
Ba 0.500 0.500 0.500
Tl 0.000 0.250 0.500
Tl 0.000 0.750 0.500
Tl 0.250 0.500 0.000
Tl 0.500 0.000 0.250
Tl 0.500 0.000 0.750
Tl 0.750 0.500 0.000
Bi 0.000 0.500 0.250
Bi 0.000 0.500 0.750
Bi 0.250 0.000 0.500
Bi 0.500 0.250 0.000
Bi 0.500 0.750 0.000
Bi 0.750 0.000 0.500

Total magnetization = 0.00 μB per cell
N(E_F) = 5.48 states/eV/f.u.

---

Record 12
DFT (PBE-GGA) results for a geometry-optimized Ba2Tl6Bi3 structure.

Lattice parameters (Å, degrees): 9.920 9.920 4.807 90.00 90.00 120.00
Positions (direct):
Ba 0.333 0.667 0.000
Ba 0.667 0.333 0.000
Tl 0.000 0.202 0.000
Tl 0.000 0.734 0.500
Tl 0.202 0.000 0.000
Tl 0.266 0.266 0.500
Tl 0.734 0.000 0.500
Tl 0.798 0.798 0.000
Bi 0.000 0.422 0.500
Bi 0.422 0.000 0.500
Bi 0.578 0.578 0.500

Total magnetization = 0.00 μB per cell
N(E_F) = 4.92 states/eV/f.u.

---

| no. | final energy (eV/atom) | ΔE_f (eV/atom) |
| --- | --- | --- |
| 1 | -3.48 | -0.83 |
| 2 | -2.68 | 0.01 |
| 3 | -3.41 | -0.40 |
| 4 | -2.88 | -0.41 |
| 5 | -3.46 | -0.45 |
| 6 | -2.84 | -0.33 |
| 7 | -3.56 | -0.58 |
| 8 | -3.49 | -0.48 |
| 9 | -3.29 | -0.28 |
| 10 | -3.09 | 0.09 |
| 11 | -2.85 | 0.11 |
| 12 | -3.01 | -0.32 |